Material: TeMoWS3
Method: DFT, PBE
State: optimized geometry

Structure (extended XYZ):
```
12
Lattice="-1.9459 2.6293 -0.1534 -0.9086 -2.7959 -1.4426 -15.6696 -9.9015 29.0601" Properties=species:S:1:pos:R:3 pbc="T T T"
W -5.4478 -3.6373 6.7641
W -7.5126 -4.7471 13.9325
Te -7.8848 -5.1772 11.2836
Te -9.6495 -6.2923 14.5563
S -1.5925 -1.2011 -0.3858
S -10.1083 -6.3873 18.7463
S -3.4915 -2.2063 6.4752
S -2.9904 -2.0844 2.2066
S -11.5055 -7.2702 21.3375
S -4.8954 -3.0934 9.0788
Mo -1.0372 -0.6554 1.9235
Mo -12.0612 -7.8162 19.0290
```

Results
For the magnetization, the calculation gives 0.00 μB per formula unit. As for the density of states at the Fermi level: 0.98 states/eV/cell. Its symmetry is P3m1 (156). The value obtained for the energy above the lowest structure with this stoichiometry is 39 meV per atom. Its density is 5.225 Mg/m³. Its total energy is -7.154 eV/atom. The value obtained for the formation energy from raw total energies is -58.13 kJ/mol of atoms.

Material: La5TbNd
Method: DFT, PBE
State: optimized geometry

Structure (extended XYZ):
```
14
Lattice="-6.2364 0.7215 -3.1892 -5.6723 -3.3055 2.5462 -9.5910 7.7835 6.4085" Properties=species:S:1:pos:R:3 pbc="T T T"
Tb -13.2726 5.4379 3.2142
Tb -8.2271 -0.2383 2.5513
La -17.6141 6.0955 5.8757
La -8.6989 3.1235 2.9121
La -5.8069 1.6761 0.7281
La -3.8855 -0.8959 -0.1103
La -12.8007 2.0761 2.8533
La -8.5388 1.9869 -0.6179
La -10.4689 4.6147 5.2898
La -12.9609 3.2127 6.3833
La -11.0307 0.5848 0.4756
La -15.6927 3.5234 5.0374
Nd 0.0000 0.0000 0.0000
Nd -4.7955 3.8918 3.2042
```

Results
For the magnetization, the calculation gives 0.00 μB per formula unit. As for the density of states at the Fermi level: 20.25 states/eV/cell. Its symmetry is C2/c (15). The value obtained for the energy above the lowest structure with this stoichiometry is 8 meV per atom. Its density is 6.545 Mg/m³. Its total energy is -4.732 eV/atom. Its formation energy is 130 meV per atom.

Material: SrVTe2
Method: DFT, PBE
State: optimized geometry

Structure (extended XYZ):
```
4
Lattice="2.5718 -3.8124 2.8150 -2.6905 -4.3288 1.7593 0.9184 -4.8292 -2.2154" Properties=species:S:1:pos:R:3 pbc="T T T"
Te 0.1999 -3.2426 0.5897
Te 0.5998 -9.7278 1.7691
Sr 0.3999 -6.4852 1.1794
V 0.0000 0.0000 0.0000
```

Results
For the magnetization, the calculation gives 3.01 μB per formula unit. As for the density of states at the Fermi level: 2.36 states/eV/cell. Its symmetry is Fm-3m (225). The value obtained for the energy above the lowest structure with this stoichiometry is 235 meV per atom. Its density is 5.899 Mg/m³. Its total energy is -4.728 eV/atom. The value obtained for the formation energy from raw total energies is -44.08 kJ/mol of atoms.

Material: CaLa2Au
Method: DFT, PBE
State: optimized geometry

Structure (extended XYZ):
```
8
Lattice="-5.9316 2.4823 -6.4887 -5.8881 -6.3246 2.9631 -7.2439 0.2882 0.3019" Properties=species:S:1:pos:R:3 pbc="T T T"
La -5.8770 -3.7193 1.5051
La -9.5124 -0.8457 -1.2733
La -6.6097 0.9817 -3.9985
La -16.1280 -3.5249 -2.6810
Ca -9.5209 -3.9788 0.7510
Ca -5.9098 -1.9211 -1.7628
Au -9.5427 0.4246 -3.9749
Au 0.0000 0.0000 0.0000
```

Results
For the magnetization, the calculation gives 0.00 μB per formula unit. As for the density of states at the Fermi level: 11.37 states/eV/cell. Its symmetry is I-42d (122). The value obtained for the energy above the lowest structure with this stoichiometry is 149 meV per atom. Its density is 6.200 Mg/m³. Its total energy is -4.013 eV/atom. Its formation energy is -230 meV per atom.

Material: Li3Y3HfTe8
Method: DFT, PBE
State: optimized geometry

Structure (extended XYZ):
```
15
Lattice="8.5857 0.0000 0.0000 -4.2928 7.4351 -0.0298 0.0000 -4.9330 7.1114" Properties=species:S:1:pos:R:3 pbc="T T T"
Te 4.2928 2.5995 1.7891
Te 2.0453 -3.6402 5.3066
Te 0.0000 2.4829 1.7086
Te 6.5403 -3.6402 5.3066
Te -2.2475 6.1423 1.7751
Te 0.0000 -0.0974 5.2925
Te 4.2928 0.0192 5.3730
Te 2.2475 6.1423 1.7751
Y 4.2928 -2.4665 3.5557
Y -2.1464 1.2510 3.5408
Y 2.1464 1.2510 3.5408
Li 2.1464 3.7175 -0.0149
Li -2.1464 3.7175 -0.0149
Li 0.0000 0.0000 0.0000
Hf 0.0000 -2.4665 3.5557
```

Results
For the magnetization, the calculation gives 0.00 μB per formula unit. Its symmetry is R-3m (166). Its density is 5.454 Mg/m³. Its total energy is -5.212 eV/atom. The value obtained for the formation energy from raw total energies is -115.56 kJ/mol of atoms.

Material: Na2ScSb2
Method: DFT, PBE
State: optimized geometry

Structure (extended XYZ):
```
10
Lattice="8.7083 0.0000 0.0000 0.0000 8.7083 0.0000 0.0000 0.0000 3.4538" Properties=species:S:1:pos:R:3 pbc="T T T"
Sc 0.0000 0.0000 0.0000
Sc 4.3542 4.3542 0.0000
Na 5.3733 7.6892 1.7269
Na 7.6892 3.3350 1.7269
Na 1.0192 5.3733 1.7269
Na 3.3350 1.0192 1.7269
Sb 2.7538 7.1080 0.0000
Sb 1.6004 2.7538 0.0000
Sb 5.9545 1.6004 0.0000
Sb 7.1080 5.9545 0.0000
```

Results
For the magnetization, the calculation gives 0.00 μB per formula unit. As for the density of states at the Fermi level: 3.29 states/eV/cell. Its symmetry is P4/mbm (127). Its density is 4.241 Mg/m³. Its total energy is -3.721 eV/atom. The value obtained for the formation energy from raw total energies is -26.80 kJ/mol of atoms.

Material: Li4Ho3Ge4
Method: DFT, PBE
State: optimized geometry

Structure (extended XYZ):
```
11
Lattice="-1.2484 -1.5329 -3.8200 6.2990 -1.8924 -1.2992 -3.8187 -4.6303 5.5276" Properties=species:S:1:pos:R:3 pbc="T T T"
Li 3.2774 -4.2598 -1.7833
Li 0.8812 -3.5399 -1.2890
Li 0.3507 -4.5156 1.6974
Li -2.0455 -3.7957 2.1917
Ge 2.5945 -3.6678 0.6239
Ge 4.4718 -2.2974 -2.9611
Ge 0.5788 -1.1278 -2.1581
Ge -1.3627 -4.3877 -0.2155
Ho -0.3310 -1.6232 0.7595
Ho 1.5629 -6.4324 -0.3511
Ho 3.1495 -0.9462 -0.6496
```

Results
For the magnetization, the calculation gives 0.00 μB per formula unit. As for the density of states at the Fermi level: 2.57 states/eV/cell. Its symmetry is Immm (71). Its density is 6.575 Mg/m³. Its total energy is -4.280 eV/atom. Its formation energy is -657 meV per atom.

Material: GeO
Method: DFT, PBE
State: optimized geometry

Structure (extended XYZ):
```
16
Lattice="4.7558 0.0000 0.0000 0.0000 5.1307 0.0000 0.0000 0.0000 10.8892" Properties=species:S:1:pos:R:3 pbc="T T T"
O 1.3141 0.8380 6.1427
O 2.4728 2.6878 2.0423
O 0.0949 5.0083 8.8469
O 4.6609 2.4429 7.4869
O 1.0638 4.2927 0.6981
O 3.4417 3.4034 10.1911
O 3.6920 1.7274 4.7465
O 2.2830 0.1225 3.4023
Ge 2.8481 0.0127 5.3055
Ge 1.0618 3.9521 2.6706
Ge 3.4397 3.7440 8.2186
Ge 1.9077 2.5780 0.1391
Ge 1.3161 1.1786 8.1152
Ge 0.4702 2.5527 5.5837
Ge 4.2856 5.1181 10.7501
Ge 3.6940 1.3867 2.7740
```

Results
For the magnetization, the calculation gives 0.00 μB per formula unit. Its symmetry is P2_12_12_1 (19). Its density is 4.432 Mg/m³. Its total energy is -5.939 eV/atom. The value obtained for the formation energy from raw total energies is -111.10 kJ/mol of atoms.

Material: Al2InOs
Method: DFT, PBE
State: optimized geometry

Structure (extended XYZ):
```
4
Lattice="-2.5906 0.5434 1.1387 1.1698 -2.5699 0.5747 4.2085 3.6654 7.8249" Properties=species:S:1:pos:R:3 pbc="T T T"
Al 4.1216 3.5897 7.6633
Al 0.2375 -0.1877 2.6191
Os 2.5487 1.8253 6.9164
In 2.1927 1.9097 4.0768
```

Results
For the magnetization, the calculation gives 0.00 μB per formula unit. As for the density of states at the Fermi level: 2.21 states/eV/cell. Its symmetry is Cmm2 (35). Its density is 8.386 Mg/m³. Its total energy is -5.074 eV/atom. Its formation energy is 290 meV per atom.

Material: MoP2Pd
Method: DFT, PBE
State: optimized geometry

Structure (extended XYZ):
```
4
Lattice="0.0000 3.0510 3.0510 3.0510 0.0000 3.0510 3.0510 3.0510 0.0000" Properties=species:S:1:pos:R:3 pbc="T T T"
P 4.5766 4.5766 4.5766
P 1.5255 1.5255 1.5255
Pd 3.0510 3.0510 3.0510
Mo 0.0000 0.0000 0.0000
```

Results
For the magnetization, the calculation gives 0.00 μB per formula unit. As for the density of states at the Fermi level: 4.70 states/eV/cell. Its symmetry is Fm-3m (225). Its density is 7.727 Mg/m³. Its total energy is -6.739 eV/atom. Its formation energy is -28 meV per atom.

Material: NaGeBiO4
Method: DFT, PBE
State: optimized geometry

Structure (extended XYZ):
```
14
Lattice="5.7027 -0.0700 0.0000 -2.3548 5.1942 0.0000 0.0000 0.0000 7.3307" Properties=species:S:1:pos:R:3 pbc="T T T"
Na 1.6739 2.5621 3.6653
Na 1.6739 2.5621 0.0000
Bi -0.9421 4.2713 5.4980
Bi 4.2900 0.8529 1.8327
Ge -1.2659 4.4828 1.8327
Ge 4.6137 0.6414 5.4980
O -0.4202 3.9303 3.2571
O -0.4202 3.9303 0.4082
O 0.6839 1.1580 5.4980
O 0.7858 1.0914 1.8327
O 3.7681 1.1939 6.9224
O 3.7681 1.1939 4.0736
O 2.6640 3.9663 1.8327
O 2.5621 4.0328 5.4980
```

Results
For the magnetization, the calculation gives 0.00 μB per formula unit. As for the density of states at the Fermi level: 0.00 states/eV/cell. Its symmetry is Cmcm (63). Its density is 5.669 Mg/m³. Its total energy is -5.750 eV/atom. The value obtained for the formation energy from raw total energies is -146.14 kJ/mol of atoms.

Material: Tb2PrY4Mg
Method: DFT, PBE
State: optimized geometry

Structure (extended XYZ):
```
8
Lattice="5.7945 0.0000 0.0000 0.0001 9.5373 -0.1584 0.0000 3.5911 4.5447" Properties=species:S:1:pos:R:3 pbc="T T T"
Mg 0.0001 6.5642 2.1931
Y 0.0001 9.8051 3.3217
Y 5.7945 3.3234 1.0645
Y 2.8973 8.0106 1.0502
Y 2.8973 5.1179 3.3360
Tb 0.0000 3.5911 4.5447
Tb 2.8973 1.7956 2.2723
Pr 2.8973 4.7687 -0.0792
```

Results
For the magnetization, the calculation gives 1.57 μB per formula unit. As for the density of states at the Fermi level: 15.78 states/eV/cell. Its symmetry is P4/mmm (123). Its density is 5.473 Mg/m³. Its total energy is -5.086 eV/atom. Its formation energy is 100 meV per atom.

Number 1: volume 26.67 Å³/atom. Number 2: volume 36.16 Å³/atom. Number 3: volume 27.71 Å³/atom. Number 4: volume 34.48 Å³/atom. Number 5: volume 30.18 Å³/atom. Number 6: volume 26.19 Å³/atom. Number 7: volume 18.67 Å³/atom. Number 8: volume 16.61 Å³/atom. Number 9: volume 17.77 Å³/atom. Number 10: volume 14.20 Å³/atom. Number 11: volume 15.42 Å³/atom. Number 12: volume 31.81 Å³/atom.